Record 1
Mg3CuPt12: relaxed, PBE.

Summary:
ΔE_f = -484 meV per atom
SG = No. 123
total magnetization = 0.00 μB per atom
ρ = 16.7 g cm⁻³

Cell lengths 3.9470, 3.9470, 15.8171 Å; angles 90.00, 90.00, 90.00 degrees
With the nearest neighbours (Å) after each atom.
Sites, in units of the cell vectors:
Pt 0.5000 0.5000 0.7522  4 Mg 2.79, 8 Pt 2.80-2.81
Pt 0.5000 0.5000 0.0000  8 Pt 2.76, 4 Cu 2.79
Pt 0.5000 0.5000 0.5000  4 Mg 2.79, 8 Pt 2.80
Pt 0.5000 0.5000 0.2478  4 Mg 2.79, 8 Pt 2.80-2.81
Pt 0.5000 0.0000 0.6258  8 Pt 2.79-2.81, 4 Mg 2.80-2.81
Pt 0.0000 0.5000 0.8782  2 Cu 2.76, 8 Pt 2.76-2.80, 2 Mg 2.81
Pt 0.5000 0.0000 0.3742  8 Pt 2.79-2.81, 4 Mg 2.80-2.81
Pt 0.0000 0.5000 0.3742  8 Pt 2.79-2.81, 4 Mg 2.80-2.81
Pt 0.5000 0.0000 0.1218  8 Pt 2.76-2.80, 2 Cu 2.76, 2 Mg 2.81
Pt 0.0000 0.5000 0.6258  8 Pt 2.79-2.81, 4 Mg 2.80-2.81
Pt 0.5000 0.0000 0.8782  8 Pt 2.76-2.80, 2 Cu 2.76, 2 Mg 2.81
Pt 0.0000 0.5000 0.1218  2 Cu 2.76, 8 Pt 2.76-2.80, 2 Mg 2.81
Mg 0.0000 0.0000 0.5000  12 Pt 2.79-2.80
Mg 0.0000 0.0000 0.7518  12 Pt 2.79-2.81
Mg 0.0000 0.0000 0.2482  12 Pt 2.79-2.81
Cu 0.0000 0.0000 0.0000  12 Pt 2.76-2.79

=====

Record 2
Mg2CuPt: relaxed, PBE.

Summary:
ΔE_f = -309 meV per atom
SG = No. 12
total magnetization = 0.00 μB per atom
ρ = 7.9 g cm⁻³

Cell lengths 4.6506, 4.6506, 5.0676 Å; angles 79.81, 79.81, 36.80 degrees
With the nearest neighbours (Å) after each atom.
Sites, in units of the cell vectors:
Mg 0.0021 0.0021 0.9972  3 Cu 2.73-2.77, 3 Pt 2.74-2.75, 6 Mg 2.91-2.95
Mg 0.4979 0.4979 0.5028  3 Cu 2.73-2.77, 3 Pt 2.74-2.75, 6 Mg 2.91-2.95
Cu 0.2500 0.2500 0.2500  6 Mg 2.73-2.77, 4 Pt 2.93, 2 Cu 2.94
Pt 0.7500 0.7500 0.7500  6 Mg 2.74-2.75, 4 Cu 2.93, 2 Pt 2.94

=====

Record 3
Mg4CuPt5: relaxed, PBE.

Summary:
ΔE_f = -731 meV per atom
SG = No. 123
total magnetization = 0.00 μB per atom
ρ = 12.2 g cm⁻³

Cell lengths 2.9559, 2.9559, 17.7386 Å; angles 90.00, 90.00, 90.00 degrees
With the nearest neighbours (Å) after each atom.
Sites, in units of the cell vectors:
Mg 0.0000 0.0000 0.1930  8 Pt 2.74-2.78, 4 Mg 2.96
Mg 0.0000 0.0000 0.8070  8 Pt 2.74-2.78, 4 Mg 2.96
Mg 0.0000 0.0000 0.3978  8 Pt 2.76-2.77, 4 Mg 2.96
Mg 0.0000 0.0000 0.6022  8 Pt 2.76-2.77, 4 Mg 2.96
Pt 0.5000 0.5000 0.5000  8 Mg 2.77, 4 Pt 2.96
Pt 0.5000 0.5000 0.7037  8 Mg 2.76-2.78, 4 Pt 2.96
Pt 0.5000 0.5000 0.9072  4 Cu 2.66, 4 Mg 2.74, 4 Pt 2.96
Pt 0.5000 0.5000 0.2963  8 Mg 2.76-2.78, 4 Pt 2.96
Pt 0.5000 0.5000 0.0928  4 Cu 2.66, 4 Mg 2.74, 4 Pt 2.96
Cu 0.0000 0.0000 0.0000  8 Pt 2.66, 4 Cu 2.96

=====

Record 4
Mg4CuPt3: relaxed, PBE.

Summary:
ΔE_f = -695 meV per atom
SG = No. 139
total magnetization = 0.00 μB per atom
ρ = 9.8 g cm⁻³

Cell lengths 4.2573, 4.2572, 7.6206 Å; angles 106.18, 106.22, 90.00 degrees
With the nearest neighbours (Å) after each atom.
Sites, in units of the cell vectors:
Cu 0.5000 0.0000 0.0000  8 Mg 2.76, 4 Pt 3.01
Mg 0.3744 0.3744 0.7489  6 Pt 2.74-2.76, 2 Cu 2.76, 4 Mg 3.01
Mg 0.8744 0.8746 0.7489  6 Pt 2.74-2.76, 2 Cu 2.76, 4 Mg 3.01
Mg 0.6256 0.6256 0.2511  6 Pt 2.74-2.76, 2 Cu 2.76, 4 Mg 3.01
Mg 0.1256 0.1254 0.2511  6 Pt 2.74-2.76, 2 Cu 2.76, 4 Mg 3.01
Pt 0.2512 0.7511 0.5023  8 Mg 2.74-2.76, 4 Pt 3.01
Pt 0.0000 0.5000 0.0000  8 Mg 2.76, 4 Cu 3.01
Pt 0.7488 0.2489 0.4977  8 Mg 2.74-2.76, 4 Pt 3.01

=====

Record 5
MgCuPt: relaxed, PBE.

Summary:
ΔE_f = -411 meV per atom
SG = No. 107
total magnetization = 0.00 μB per atom
ρ = 10.4 g cm⁻³
energy above the lowest structure with this stoichiometry = 0.18 eV/f.u.

Cell lengths 5.3216, 5.3217, 3.0404 Å; angles 73.40, 73.40, 33.20 degrees
With the nearest neighbours (Å) after each atom.
Sites, in units of the cell vectors:
Cu 0.0048 0.0053 0.9952  4 Pt 2.64, 4 Mg 2.72-2.73
Pt 0.6619 0.6618 0.3381  4 Cu 2.64, 4 Mg 2.72
Mg 0.3332 0.3330 0.6668  4 Pt 2.72, 4 Cu 2.72-2.73, 4 Mg 3.04

=====

Record 6
Mg2CuPt: relaxed, PBE.

Summary:
ΔE_f = 155 meV per atom
SG = No. 71
total magnetization = 0.00 μB per atom
ρ = 7.2 g cm⁻³

Cell lengths 5.8669, 5.8669, 5.8669 Å; angles 56.90, 151.73, 131.72 degrees
With the nearest neighbours (Å) after each atom.
Sites, in units of the cell vectors:
Cu 0.0000 0.0000 0.0000  2 Mg 2.59, 4 Pt 2.79, 2 Cu 2.87
Pt 0.0000 0.5000 0.5000  2 Mg 2.57, 4 Cu 2.79, 2 Pt 2.87
Mg 0.0000 0.2507 0.2507  1 Pt 2.57, 1 Cu 2.59, 6 Mg 2.79-2.87
Mg 0.0000 0.7493 0.7493  1 Pt 2.57, 1 Cu 2.59, 6 Mg 2.79-2.87